## one
! PBE LaSc3Mo, relaxed; values from VASP
&SYSTEM
  ibrav = 0, nat = 5, ntyp = 3
/
ATOMIC_SPECIES
La 138.91 La.upf
Sc 44.96 Sc.upf
Mo 95.94 Mo.upf
CELL_PARAMETERS angstrom
5.024 0.000 0.000
0.000 5.024 0.000
0.000 0.000 5.024
ATOMIC_POSITIONS crystal
La 0.000 0.000 0.000
Sc 0.000 0.000 0.500
Sc 0.000 0.500 0.000
Sc 0.500 0.000 0.000
Mo 0.500 0.500 0.500
! space group = Pm-3m (221)
! mass density = 4.8 Mg/m³
! DOS(E_F) = 1.68 states/eV per atom

=====

## two
! PBE LaSc3Mo, relaxed; values from VASP
&SYSTEM
  ibrav = 0, nat = 5, ntyp = 3
/
ATOMIC_SPECIES
La 138.91 La.upf
Sc 44.96 Sc.upf
Mo 95.94 Mo.upf
CELL_PARAMETERS angstrom
5.158 0.000 0.000
0.000 5.158 0.000
0.000 0.000 5.158
ATOMIC_POSITIONS crystal
La 0.000 0.000 0.000
Sc 0.000 0.500 0.500
Sc 0.500 0.000 0.500
Sc 0.500 0.500 0.000
Mo 0.500 0.500 0.500
! space group = Pm-3m (221)
! mass density = 4.5 Mg/m³
! DOS(E_F) = 1.61 states/eV per atom

=====

Of them, the most stable is two and the least stable is one.

=====

## one
! PBE LaMoSe, relaxed; values from VASP
&SYSTEM
  ibrav = 0, nat = 3, ntyp = 3
/
ATOMIC_SPECIES
La 138.91 La.upf
Mo 95.94 Mo.upf
Se 78.96 Se.upf
CELL_PARAMETERS angstrom
0.000 3.250 3.250
3.250 0.000 3.250
3.250 3.250 0.000
ATOMIC_POSITIONS crystal
La 0.000 0.000 0.000
Mo 0.750 0.750 0.750
Se 0.500 0.500 0.500
! space group = F-43m (216)
! mass density = 7.6 Mg/m³
! DOS(E_F) = 1.08 states/eV per atom

=====

## two
! PBE LaMoSe, relaxed; values from VASP
&SYSTEM
  ibrav = 0, nat = 3, ntyp = 3
/
ATOMIC_SPECIES
La 138.91 La.upf
Mo 95.94 Mo.upf
Se 78.96 Se.upf
CELL_PARAMETERS angstrom
4.448 0.000 0.000
-2.224 3.852 0.000
0.000 0.000 3.985
ATOMIC_POSITIONS crystal
La 0.000 0.000 0.000
Mo 0.333 0.667 0.500
Se 0.667 0.333 0.500
! space group = P-6m2 (187)
! mass density = 7.6 Mg/m³
! DOS(E_F) = 1.45 states/eV per atom

=====

Of them, the most stable is two and the least stable is one.

=====

## one
! PBE LaMoSe, relaxed; values from VASP
&SYSTEM
  ibrav = 0, nat = 3, ntyp = 3
/
ATOMIC_SPECIES
La 138.91 La.upf
Mo 95.94 Mo.upf
Se 78.96 Se.upf
CELL_PARAMETERS angstrom
0.000 3.607 3.607
3.607 0.000 3.607
3.607 3.607 0.000
ATOMIC_POSITIONS crystal
La 0.000 0.000 0.000
Mo 0.250 0.250 0.250
Se 0.750 0.750 0.750
! space group = F-43m (216)
! mass density = 5.6 Mg/m³
! DOS(E_F) = 1.18 states/eV per atom

=====

## two
! PBE LaMoSe, relaxed; values from VASP
&SYSTEM
  ibrav = 0, nat = 3, ntyp = 3
/
ATOMIC_SPECIES
La 138.91 La.upf
Mo 95.94 Mo.upf
Se 78.96 Se.upf
CELL_PARAMETERS angstrom
-1.690 1.690 5.678
1.690 -1.690 5.678
1.690 1.690 -5.678
ATOMIC_POSITIONS crystal
La 0.000 0.000 0.000
Mo 0.306 0.306 0.000
Se 0.710 0.710 0.000
! space group = I4mm (107)
! mass density = 8.0 Mg/m³
! DOS(E_F) = 1.28 states/eV per atom

=====

Of them, the most stable is two and the least stable is one.

=====

## one
! PBE LaSiMo3, relaxed; values from VASP
&SYSTEM
  ibrav = 0, nat = 5, ntyp = 3
/
ATOMIC_SPECIES
La 138.91 La.upf
Si 28.09 Si.upf
Mo 95.94 Mo.upf
CELL_PARAMETERS angstrom
4.813 0.000 0.000
0.000 4.813 0.000
0.000 0.000 4.813
ATOMIC_POSITIONS crystal
La 0.000 0.000 0.000
Si 0.500 0.500 0.500
Mo 0.000 0.000 0.500
Mo 0.000 0.500 0.000
Mo 0.500 0.000 0.000
! space group = Pm-3m (221)
! mass density = 6.8 Mg/m³
! DOS(E_F) = 1.69 states/eV per atom

=====

## two
! PBE LaSiMo3, relaxed; values from VASP
&SYSTEM
  ibrav = 0, nat = 5, ntyp = 3
/
ATOMIC_SPECIES
La 138.91 La.upf
Si 28.09 Si.upf
Mo 95.94 Mo.upf
CELL_PARAMETERS angstrom
4.689 0.000 0.000
0.000 4.689 0.000
0.000 0.000 4.689
ATOMIC_POSITIONS crystal
La 0.000 0.000 0.000
Si 0.500 0.500 0.500
Mo 0.000 0.500 0.500
Mo 0.500 0.000 0.500
Mo 0.500 0.500 0.000
! space group = Pm-3m (221)
! mass density = 7.3 Mg/m³
! DOS(E_F) = 1.48 states/eV per atom

=====

Of them, the most stable is two and the least stable is one.

=====

## one
! PBE LaSi2Mo, relaxed; values from VASP
&SYSTEM
  ibrav = 0, nat = 4, ntyp = 3
/
ATOMIC_SPECIES
La 138.91 La.upf
Si 28.09 Si.upf
Mo 95.94 Mo.upf
CELL_PARAMETERS angstrom
2.923 -3.836 0.000
2.923 3.836 0.000
-0.811 0.000 3.444
ATOMIC_POSITIONS crystal
La 0.000 0.000 0.000
Si 0.000 0.500 0.500
Si 0.500 0.000 0.500
Mo 0.500 0.500 0.000
! space group = C2/m (12)
! mass density = 6.3 Mg/m³
! DOS(E_F) = 0.75 states/eV per atom

=====

## two
! PBE LaSi2Mo, relaxed; values from VASP
&SYSTEM
  ibrav = 0, nat = 4, ntyp = 3
/
ATOMIC_SPECIES
La 138.91 La.upf
Si 28.09 Si.upf
Mo 95.94 Mo.upf
CELL_PARAMETERS angstrom
0.000 3.354 3.354
3.354 0.000 3.354
3.354 3.354 0.000
ATOMIC_POSITIONS crystal
La 0.000 0.000 0.000
Si 0.250 0.250 0.250
Si 0.750 0.750 0.750
Mo 0.500 0.500 0.500
! space group = Fm-3m (225)
! mass density = 6.4 Mg/m³
! DOS(E_F) = 0.90 states/eV per atom

=====

Of them, the most stable is two and the least stable is one.

=====

## one
! PBE LaSi2Mo, relaxed; values from VASP
&SYSTEM
  ibrav = 0, nat = 4, ntyp = 3
/
ATOMIC_SPECIES
La 138.91 La.upf
Si 28.09 Si.upf
Mo 95.94 Mo.upf
CELL_PARAMETERS angstrom
3.886 0.000 0.000
0.000 4.414 0.000
0.000 0.000 4.450
ATOMIC_POSITIONS crystal
La 0.000 0.000 0.000
Si 0.000 0.500 0.500
Si 0.500 0.500 0.000
Mo 0.500 0.000 0.500
! space group = Pmmm (47)
! mass density = 6.3 Mg/m³
! DOS(E_F) = 0.83 states/eV per atom

=====

## two
! PBE LaSi2Mo, relaxed; values from VASP
&SYSTEM
  ibrav = 0, nat = 4, ntyp = 3
/
ATOMIC_SPECIES
La 138.91 La.upf
Si 28.09 Si.upf
Mo 95.94 Mo.upf
CELL_PARAMETERS angstrom
0.000 3.327 3.327
3.327 0.000 3.327
3.327 3.327 0.000
ATOMIC_POSITIONS crystal
La 0.000 0.000 0.000
Si 0.500 0.500 0.500
Si 0.750 0.750 0.750
Mo 0.250 0.250 0.250
! space group = F-43m (216)
! mass density = 6.6 Mg/m³
! DOS(E_F) = 0.89 states/eV per atom

=====

Of them, the most stable is one and the least stable is two.

=====

## one
! PBE LaSi2Mo, relaxed; values from VASP
&SYSTEM
  ibrav = 0, nat = 4, ntyp = 3
/
ATOMIC_SPECIES
La 138.91 La.upf
Si 28.09 Si.upf
Mo 95.94 Mo.upf
CELL_PARAMETERS angstrom
-1.777 1.831 6.263
1.777 -1.831 6.263
1.777 1.831 -6.263
ATOMIC_POSITIONS crystal
La 0.000 0.000 0.000
Si 0.252 0.752 0.500
Si 0.623 0.623 0.000
Mo 0.771 0.271 0.500
! space group = Imm2 (44)
! mass density = 5.9 Mg/m³
! DOS(E_F) = 0.88 states/eV per atom

=====

## two
! PBE LaSi2Mo, relaxed; values from VASP
&SYSTEM
  ibrav = 0, nat = 4, ntyp = 3
/
ATOMIC_SPECIES
La 138.91 La.upf
Si 28.09 Si.upf
Mo 95.94 Mo.upf
CELL_PARAMETERS angstrom
3.335 0.000 0.000
0.000 3.335 0.000
0.000 0.000 6.899
ATOMIC_POSITIONS crystal
La 0.000 0.000 0.000
Si 0.000 0.000 0.480
Si 0.500 0.500 0.679
Mo 0.500 0.500 0.328
! space group = P4mm (99)
! mass density = 6.3 Mg/m³
! DOS(E_F) = 1.24 states/eV per atom

=====

## three
! PBE LaSi2Mo, relaxed; values from VASP
&SYSTEM
  ibrav = 0, nat = 4, ntyp = 3
/
ATOMIC_SPECIES
La 138.91 La.upf
Si 28.09 Si.upf
Mo 95.94 Mo.upf
CELL_PARAMETERS angstrom
1.608 0.928 8.665
-1.608 0.928 8.665
0.000 -1.857 8.665
ATOMIC_POSITIONS crystal
La 0.000 0.000 0.000
Si 0.503 0.503 0.503
Si 0.769 0.769 0.769
Mo 0.235 0.235 0.235
! space group = R3m (160)
! mass density = 6.2 Mg/m³
! DOS(E_F) = 1.06 states/eV per atom

=====

## four
! PBE LaSi2Mo, relaxed; values from VASP
&SYSTEM
  ibrav = 0, nat = 4, ntyp = 3
/
ATOMIC_SPECIES
La 138.91 La.upf
Si 28.09 Si.upf
Mo 95.94 Mo.upf
CELL_PARAMETERS angstrom
3.526 0.000 0.000
0.000 3.683 0.000
-1.755 0.000 6.171
ATOMIC_POSITIONS crystal
La 0.000 0.000 0.000
Si 0.258 0.000 0.515
Si 0.378 0.500 0.757
Mo 0.725 0.500 0.450
! space group = Pm (6)
! mass density = 6.0 Mg/m³
! DOS(E_F) = 0.78 states/eV per atom

=====

Of them, the most stable is four and the least stable is three.

=====

## one
! PBE LaSi2Mo, relaxed; values from VASP
&SYSTEM
  ibrav = 0, nat = 8, ntyp = 3
/
ATOMIC_SPECIES
La 138.91 La.upf
Si 28.09 Si.upf
Mo 95.94 Mo.upf
CELL_PARAMETERS angstrom
-2.469 2.469 8.110
2.469 -2.469 8.110
2.469 2.469 -8.110
ATOMIC_POSITIONS crystal
La 0.000 0.000 0.000
La 0.750 0.250 0.500
Si 0.374 0.625 0.249
Si 0.375 0.624 0.749
Si 0.376 0.125 0.751
Si 0.875 0.626 0.251
Mo 0.250 0.750 0.500
Mo 0.500 0.500 0.000
! space group = I-42d (122)
! mass density = 4.9 Mg/m³
! DOS(E_F) = 1.05 states/eV per atom

=====

## two
! PBE LaSi2Mo, relaxed; values from VASP
&SYSTEM
  ibrav = 0, nat = 4, ntyp = 3
/
ATOMIC_SPECIES
La 138.91 La.upf
Si 28.09 Si.upf
Mo 95.94 Mo.upf
CELL_PARAMETERS angstrom
4.174 -1.788 0.000
4.174 1.788 0.000
-3.256 0.000 5.612
ATOMIC_POSITIONS crystal
La 0.000 0.000 0.000
Si 0.138 0.138 0.609
Si 0.436 0.436 0.335
Mo 0.787 0.787 0.462
! space group = Cm (8)
! mass density = 5.8 Mg/m³
! DOS(E_F) = 0.83 states/eV per atom

=====

Of them, the most stable is two and the least stable is one.

=====

## one
! PBE LaSi2Mo, relaxed; values from VASP
&SYSTEM
  ibrav = 0, nat = 4, ntyp = 3
/
ATOMIC_SPECIES
La 138.91 La.upf
Si 28.09 Si.upf
Mo 95.94 Mo.upf
CELL_PARAMETERS angstrom
2.122 1.225 5.286
-2.122 1.225 5.286
0.000 -2.450 5.286
ATOMIC_POSITIONS crystal
La 0.000 0.000 0.000
Si 0.210 0.210 0.210
Si 0.790 0.790 0.790
Mo 0.500 0.500 0.500
! space group = R-3m (166)
! mass density = 5.9 Mg/m³
! DOS(E_F) = 0.76 states/eV per atom

=====

## two
! PBE LaSi2Mo, relaxed; values from VASP
&SYSTEM
  ibrav = 0, nat = 4, ntyp = 3
/
ATOMIC_SPECIES
La 138.91 La.upf
Si 28.09 Si.upf
Mo 95.94 Mo.upf
CELL_PARAMETERS angstrom
2.847 -3.790 0.000
2.847 3.790 0.000
0.000 0.000 3.548
ATOMIC_POSITIONS crystal
La 0.000 0.000 0.000
Si 0.000 0.500 0.500
Si 0.500 0.000 0.500
Mo 0.500 0.500 0.000
! space group = Cmmm (65)
! mass density = 6.3 Mg/m³
! DOS(E_F) = 0.84 states/eV per atom

=====

## three
! PBE LaSi2Mo, relaxed; values from VASP
&SYSTEM
  ibrav = 0, nat = 4, ntyp = 3
/
ATOMIC_SPECIES
La 138.91 La.upf
Si 28.09 Si.upf
Mo 95.94 Mo.upf
CELL_PARAMETERS angstrom
4.111 -1.854 0.000
4.111 1.854 0.000
-1.873 0.000 5.349
ATOMIC_POSITIONS crystal
La 0.000 0.000 0.000
Si 0.228 0.228 0.634
Si 0.772 0.772 0.366
Mo 0.500 0.500 0.500
! space group = C2/m (12)
! mass density = 5.9 Mg/m³
! DOS(E_F) = 0.62 states/eV per atom

=====

Of them, the most stable is three and the least stable is two.

=====

## one
! PBE LaSi2Mo, relaxed; values from VASP
&SYSTEM
  ibrav = 0, nat = 4, ntyp = 3
/
ATOMIC_SPECIES
La 138.91 La.upf
Si 28.09 Si.upf
Mo 95.94 Mo.upf
CELL_PARAMETERS angstrom
3.282 0.000 0.000
0.000 3.282 0.000
0.000 0.000 6.873
ATOMIC_POSITIONS crystal
La 0.000 0.000 0.000
Si 0.500 0.500 0.317
Si 0.500 0.500 0.683
Mo 0.000 0.000 0.500
! space group = P4/mmm (123)
! mass density = 6.5 Mg/m³
! DOS(E_F) = 0.53 states/eV per atom

=====

## two
! PBE LaSi2Mo, relaxed; values from VASP
&SYSTEM
  ibrav = 0, nat = 4, ntyp = 3
/
ATOMIC_SPECIES
La 138.91 La.upf
Si 28.09 Si.upf
Mo 95.94 Mo.upf
CELL_PARAMETERS angstrom
-2.092 2.092 4.438
2.092 -2.092 4.438
2.092 2.092 -4.438
ATOMIC_POSITIONS crystal
La 0.000 0.000 0.000
Si 0.500 0.500 0.000
Si 0.750 0.250 0.500
Mo 0.250 0.750 0.500
! space group = I-4m2 (119)
! mass density = 6.2 Mg/m³
! DOS(E_F) = 0.97 states/eV per atom

=====

Of them, the most stable is one and the least stable is two.

=====

## one
! PBE LaSi3Mo, relaxed; values from VASP
&SYSTEM
  ibrav = 0, nat = 5, ntyp = 3
/
ATOMIC_SPECIES
La 138.91 La.upf
Si 28.09 Si.upf
Mo 95.94 Mo.upf
CELL_PARAMETERS angstrom
5.161 0.000 0.000
0.000 5.161 0.000
0.000 0.000 5.161
ATOMIC_POSITIONS crystal
La 0.000 0.000 0.000
Si 0.000 0.000 0.500
Si 0.000 0.500 0.000
Si 0.500 0.000 0.000
Mo 0.500 0.500 0.500
! space group = Pm-3m (221)
! mass density = 3.9 Mg/m³
! DOS(E_F) = 1.54 states/eV per atom

=====

## two
! PBE LaSi3Mo, relaxed; values from VASP
&SYSTEM
  ibrav = 0, nat = 5, ntyp = 3
/
ATOMIC_SPECIES
La 138.91 La.upf
Si 28.09 Si.upf
Mo 95.94 Mo.upf
CELL_PARAMETERS angstrom
4.732 0.000 0.000
0.000 4.732 0.000
0.000 0.000 4.732
ATOMIC_POSITIONS crystal
La 0.000 0.000 0.000
Si 0.000 0.500 0.500
Si 0.500 0.000 0.500
Si 0.500 0.500 0.000
Mo 0.500 0.500 0.500
! space group = Pm-3m (221)
! mass density = 5.0 Mg/m³
! DOS(E_F) = 0.49 states/eV per atom

=====

Of them, the most stable is two and the least stable is one.

=====

## one
! PBE LaSnMo3, relaxed; values from VASP
&SYSTEM
  ibrav = 0, nat = 5, ntyp = 3
/
ATOMIC_SPECIES
La 138.91 La.upf
Sn 118.71 Sn.upf
Mo 95.94 Mo.upf
CELL_PARAMETERS angstrom
5.016 0.000 0.000
0.000 5.016 0.000
0.000 0.000 5.016
ATOMIC_POSITIONS crystal
La 0.000 0.000 0.000
Sn 0.500 0.500 0.500
Mo 0.000 0.500 0.500
Mo 0.500 0.000 0.500
Mo 0.500 0.500 0.000
! space group = Pm-3m (221)
! mass density = 7.2 Mg/m³
! DOS(E_F) = 1.70 states/eV per atom

=====

## two
! PBE LaSnMo3, relaxed; values from VASP
&SYSTEM
  ibrav = 0, nat = 5, ntyp = 3
/
ATOMIC_SPECIES
La 138.91 La.upf
Sn 118.71 Sn.upf
Mo 95.94 Mo.upf
CELL_PARAMETERS angstrom
4.878 0.000 0.000
0.000 4.878 0.000
0.000 0.000 4.878
ATOMIC_POSITIONS crystal
La 0.000 0.000 0.000
Sn 0.500 0.500 0.500
Mo 0.000 0.000 0.500
Mo 0.000 0.500 0.000
Mo 0.500 0.000 0.000
! space group = Pm-3m (221)
! mass density = 7.8 Mg/m³
! DOS(E_F) = 1.45 states/eV per atom

=====

Of them, the most stable is one and the least stable is two.